VASP calculation (PBE+U) on WAuO2 after structural relaxation.

The calculation puts the offset from the most stable computed form at 1.2664 eV/atom. The calculation puts the volume at 203 Å³ per cell.

The space group is Fm-3m (No. 225) and the conventional cell measures 5.8728, 5.8728 and 5.8728 Å, with angles of 90.00, 90.00 and 90.00 degrees. The inequivalent atoms are W at (0.0000, 0.0000, 0.0000), Au at (0.0000, 0.0000, 0.5000) and O at (0.2500, 0.2500, 0.2500).